The following is a GGA-PBE calculation of a relaxed structure of NaTiSbI2, from Alexandria.

POSCAR file:
```
NaTiSbI2
1.0
5.708 0.000 0.000
0.000 5.708 0.000
0.000 0.000 5.340
Na Ti Sb I
1 1 1 2
Direct
0.000 0.000 0.000
0.500 0.500 0.500
0.500 0.500 0.000
0.000 0.500 0.500
0.500 0.000 0.500
```

Properties
* offset from the most stable computed form: 0 meV/atom
* formation energy (no corrections): -31.7 kJ per mole of atoms



The following is a GGA-PBE calculation of a relaxed structure of PdRuS2, from Alexandria.

POSCAR file:
```
PdRuS2
1.0
3.363 0.000 0.000
-1.682 2.912 0.000
0.000 0.000 21.871
Pd Ru S
3 3 6
Direct
0.000 0.000 0.000
0.333 0.667 0.667
0.667 0.333 0.333
0.000 0.000 0.500
0.333 0.667 0.167
0.667 0.333 0.833
0.000 0.000 0.104
0.000 0.000 0.896
0.333 0.667 0.562
0.333 0.667 0.771
0.667 0.333 0.229
0.667 0.333 0.438
```

Properties
* offset from the most stable computed form: 35 meV/atom
* formation energy (no corrections): -14.0 kJ per mole of atoms



The following is a GGA-PBE calculation of a relaxed structure of PrRe3Si3, from Alexandria.

POSCAR file:
```
PrRe3Si3
1.0
7.246 0.000 0.000
0.000 4.427 0.000
-3.389 0.000 8.165
Pr Re Si
2 6 6
Direct
0.226 0.250 0.435
0.774 0.750 0.565
0.244 0.750 0.968
0.343 0.250 0.836
0.443 0.250 0.167
0.557 0.750 0.833
0.657 0.750 0.164
0.756 0.250 0.032
0.082 0.250 0.992
0.201 0.750 0.670
0.368 0.750 0.269
0.632 0.250 0.731
0.799 0.250 0.330
0.918 0.750 0.008
```

Properties
* offset from the most stable computed form: 0 meV/atom
* formation energy (no corrections): -21.9 kJ per mole of atoms



The following is a GGA-PBE calculation of a relaxed structure of K2GaPdO4, from Alexandria.

POSCAR file:
```
K2GaPdO4
1.0
0.000 6.457 9.116
2.880 0.000 9.116
2.880 6.457 0.000
K Ga Pd O
4 2 2 8
Direct
0.055 0.055 0.695
0.305 0.305 0.945
0.695 0.695 0.055
0.945 0.945 0.305
0.375 0.375 0.375
0.625 0.625 0.625
0.125 0.125 0.125
0.875 0.875 0.875
0.017 0.684 0.541
0.258 0.541 0.684
0.316 0.983 0.742
0.459 0.742 0.983
0.541 0.258 0.017
0.684 0.017 0.258
0.742 0.459 0.316
0.983 0.316 0.459
```

Properties
* formation energy (no corrections): -108.3 kJ per mole of atoms



The following is a GGA-PBE calculation of a relaxed structure of Cs2TcBr5Cl, from Alexandria.

POSCAR file:
```
Cs2TcBr5Cl
1.0
-3.871 3.871 5.538
3.871 -3.871 5.538
3.871 3.871 -5.538
Cs Tc Br Cl
2 1 5 1
Direct
0.000 0.500 0.500
0.500 0.000 0.500
0.249 0.249 0.000
0.018 0.018 0.535
0.018 0.482 0.000
0.479 0.479 0.000
0.482 0.018 0.000
0.482 0.482 0.465
0.034 0.034 0.000
```

Properties
* formation energy (no corrections): -111.2 kJ per mole of atoms



The following is a GGA-PBE calculation of a relaxed structure of CrReAg, from Alexandria.

POSCAR file:
```
CrReAg
1.0
2.801 0.000 0.000
-1.400 2.425 0.000
0.000 0.000 6.775
Cr Re Ag
1 1 1
Direct
0.000 0.000 0.000
0.667 0.333 0.278
0.333 0.667 0.652
```

Properties
* formation energy: 0.480 eV/atom
* offset from the most stable computed form: 39 meV/atom



The following is a GGA-PBE calculation of a relaxed structure of CsBa3Br, from Alexandria.

POSCAR file:
```
CsBa3Br
1.0
6.877 0.000 0.000
0.000 6.877 0.000
0.000 0.000 6.877
Cs Ba Br
1 3 1
Direct
0.000 0.000 0.000
0.000 0.000 0.500
0.000 0.500 0.000
0.500 0.000 0.000
0.500 0.500 0.500
```

Properties
* formation energy (no corrections): 39.4 kJ per mole of atoms



The following is a GGA-PBE calculation of a relaxed structure of LaNiPt, from Alexandria.

POSCAR file:
```
LaNiPt
1.0
6.628 0.000 0.000
0.000 6.628 0.000
0.000 0.000 6.628
La Ni Pt
4 4 4
Direct
0.000 0.000 0.000
0.000 0.500 0.500
0.500 0.000 0.500
0.500 0.500 0.000
0.250 0.250 0.250
0.250 0.750 0.750
0.750 0.250 0.750
0.750 0.750 0.250
0.250 0.250 0.750
0.250 0.750 0.250
0.750 0.250 0.250
0.750 0.750 0.750
```

Properties
* formation energy: -0.001 eV/atom



Which formula does entry 4 have? K2GaPdO4



What is the formula in the sixth record? CrReAg